1.
This record from Alexandria describes a geometry-optimized YPbSe2 structure. The functional is PBE.

abc: 4.057 4.057 27.394
angles: 90.00 90.00 120.00
Fractional coordinates of all 12 atoms:
Y 0.000 0.000 0.000
Y 0.333 0.667 0.667
Y 0.667 0.333 0.333
Pb 0.000 0.000 0.500
Pb 0.333 0.667 0.167
Pb 0.667 0.333 0.833
Se 0.000 0.000 0.392
Se 0.000 0.000 0.608
Se 0.333 0.667 0.059
Se 0.333 0.667 0.274
Se 0.667 0.333 0.726
Se 0.667 0.333 0.941

Final energy   -5.4482 eV/atom
D(E_F)   0.22 states/eV per atom
E_form (uncorrected)   -1.163 eV per atom


2.
This record from Alexandria describes a geometry-optimized LaPmGaIr structure. The functional is PBE.

abc: 7.285 7.285 7.285
angles: 90.00 90.00 90.00
Fractional coordinates of all 16 atoms:
La 0.000 0.000 0.000
La 0.000 0.500 0.500
La 0.500 0.000 0.500
La 0.500 0.500 0.000
Pm 0.000 0.000 0.500
Pm 0.000 0.500 0.000
Pm 0.500 0.000 0.000
Pm 0.500 0.500 0.500
Ga 0.250 0.250 0.250
Ga 0.250 0.750 0.750
Ga 0.750 0.250 0.750
Ga 0.750 0.750 0.250
Ir 0.250 0.250 0.750
Ir 0.250 0.750 0.250
Ir 0.750 0.250 0.250
Ir 0.750 0.750 0.750

Final energy   -5.9160 eV/atom
D(E_F)   0.93 states/eV per atom
ΔE to the lowest computed polymorph   128 meV per atom


3.
This record from Alexandria describes a geometry-optimized YAsPb structure. The functional is PBE.

abc: 4.776 4.776 4.379
angles: 90.00 90.00 120.00
Fractional coordinates of all 3 atoms:
Y 0.000 0.000 0.000
As 0.667 0.333 0.040
Pb 0.333 0.667 0.514

Final energy   -5.3281 eV/atom
D(E_F)   0.67 states/eV per atom
ΔE to the lowest computed polymorph   257 meV per atom


4.
This record from Alexandria describes a geometry-optimized NpPaAuO6 structure. The functional is PBE.

abc: 5.932 5.932 9.548
angles: 90.00 90.00 120.00
Fractional coordinates of all 18 atoms:
Np 0.333 0.667 0.250
Np 0.667 0.333 0.750
Pa 0.333 0.667 0.750
Pa 0.667 0.333 0.250
Au 0.000 0.000 0.000
Au 0.000 0.000 0.500
O 0.013 0.377 0.142
O 0.013 0.636 0.358
O 0.364 0.377 0.358
O 0.364 0.987 0.142
O 0.377 0.013 0.642
O 0.377 0.364 0.858
O 0.623 0.636 0.142
O 0.623 0.987 0.358
O 0.636 0.013 0.858
O 0.636 0.623 0.642
O 0.987 0.364 0.642
O 0.987 0.623 0.858

Final energy   -8.5320 eV/atom
D(E_F)   0.06 states/eV per atom
E_form (uncorrected)   -2.369 eV per atom


5.
This record from Alexandria describes a geometry-optimized TlRuW2 structure. The functional is PBE.

abc: 2.905 2.905 28.135
angles: 90.00 90.00 120.00
Fractional coordinates of all 12 atoms:
Tl 0.000 0.000 0.000
Tl 0.333 0.667 0.667
Tl 0.667 0.333 0.333
Ru 0.000 0.000 0.500
Ru 0.333 0.667 0.167
Ru 0.667 0.333 0.833
W 0.000 0.000 0.243
W 0.000 0.000 0.757
W 0.333 0.667 0.424
W 0.333 0.667 0.910
W 0.667 0.333 0.090
W 0.667 0.333 0.576

Final energy   -8.7558 eV/atom
D(E_F)   0.78 states/eV per atom
ΔE to the lowest computed polymorph   143 meV per atom


6.
This record from Alexandria describes a geometry-optimized SnGeW2 structure. The functional is PBE.

abc: 4.030 4.030 19.070
angles: 90.00 90.00 90.00
Fractional coordinates of all 16 atoms:
Sn 0.000 0.000 0.000
Sn 0.000 0.500 0.250
Sn 0.500 0.000 0.750
Sn 0.500 0.500 0.500
Ge 0.000 0.000 0.500
Ge 0.000 0.500 0.750
Ge 0.500 0.000 0.250
Ge 0.500 0.500 0.000
W 0.200 0.250 0.625
W 0.250 0.700 0.875
W 0.250 0.800 0.375
W 0.300 0.250 0.125
W 0.700 0.750 0.125
W 0.750 0.200 0.375
W 0.750 0.300 0.875
W 0.800 0.750 0.625

Final energy   -7.8721 eV/atom
D(E_F)   0.76 states/eV per atom
ΔE to the lowest computed polymorph   105 meV per atom